Computed, not measured: a relaxed Cs2LaNdS4 crystal at the GGA-PBE level of DFT.

Cell lengths 4.2901, 4.2901, 16.1386 Å; angles 90.00, 90.00, 120.00 degrees
Space group P-3m1 (No. 164)
One atom of each set of equivalent atoms:
Cs 0.3333 0.6667 0.2501
La 0.0000 0.0000 0.0000
Nd 0.0000 0.0000 0.5000
S 0.3333 0.6667 0.5927
S 0.3333 0.6667 0.9053

* spin magnetization: 0.002 μB/f.u.
* electronic total energy: -5.337 eV/atom
* calculated volume: 32.2 Å³/atom